The following is a PBE calculation of Hf3HgBi after structural relaxation, from Alexandria via LeMat-Bulk.

Calculated values
As for the space group: Pm-3m, No. 221. For the volume, the calculation gives 28.6 A^3/atom. Its uncorrected energy is -29.6 eV/cell.

Structure (CIF):
```
data_Hf3HgBi
_cell_length_a 5.230
_cell_length_b 5.230
_cell_length_c 5.230
_cell_angle_alpha 90.00
_cell_angle_beta 90.00
_cell_angle_gamma 90.00
_symmetry_space_group_name_H-M 'P 1'
_symmetry_Int_Tables_number 1
loop_
_symmetry_equiv_pos_as_xyz
'x,y,z'
loop_
_atom_site_label
_atom_site_fract_x
_atom_site_fract_y
_atom_site_fract_z
Hf1 0.000 0.500 0.000
Hf2 0.000 0.000 0.500
Hf3 0.500 0.000 0.000
Bi1 0.500 0.500 0.500
Hg1 0.000 0.000 0.000
```

The following is a PBE calculation of HfHg2Bi after structural relaxation, from Alexandria via LeMat-Bulk.

Calculated values
As for the space group: P4/mmm, No. 123. For the volume, the calculation gives 24.6 A^3/atom. Its uncorrected energy is -14.0 eV/cell.

Structure (CIF):
```
data_HfHg2Bi
_cell_length_a 3.316
_cell_length_b 3.316
_cell_length_c 8.948
_cell_angle_alpha 90.00
_cell_angle_beta 90.00
_cell_angle_gamma 90.00
_symmetry_space_group_name_H-M 'P 1'
_symmetry_Int_Tables_number 1
loop_
_symmetry_equiv_pos_as_xyz
'x,y,z'
loop_
_atom_site_label
_atom_site_fract_x
_atom_site_fract_y
_atom_site_fract_z
Hf1 0.500 0.500 0.000
Bi1 0.500 0.500 0.500
Hg1 0.000 0.000 0.783
Hg2 0.000 0.000 0.217
```

The following is a PBE calculation of Hf2HgBi2 after structural relaxation, from Alexandria via LeMat-Bulk.

Calculated values
As for the space group: P4/mbm, No. 127. For the volume, the calculation gives 25.2 A^3/atom. Its uncorrected energy is -56.7 eV/cell.

Structure (CIF):
```
data_Hf2HgBi2
_cell_length_a 7.981
_cell_length_b 7.981
_cell_length_c 3.962
_cell_angle_alpha 90.00
_cell_angle_beta 90.00
_cell_angle_gamma 90.00
_symmetry_space_group_name_H-M 'P 1'
_symmetry_Int_Tables_number 1
loop_
_symmetry_equiv_pos_as_xyz
'x,y,z'
loop_
_atom_site_label
_atom_site_fract_x
_atom_site_fract_y
_atom_site_fract_z
Hf1 0.361 0.861 0.000
Hf2 0.861 0.639 0.000
Hf3 0.639 0.139 0.000
Hf4 0.139 0.361 0.000
Bi1 0.158 0.658 0.500
Bi2 0.658 0.842 0.500
Bi3 0.842 0.342 0.500
Bi4 0.342 0.158 0.500
Hg1 0.000 0.000 0.000
Hg2 0.500 0.500 0.000
```

The following is a PBE calculation of Hf3HgBi after structural relaxation, from Alexandria via LeMat-Bulk.

Calculated values
As for the space group: Pm-3m, No. 221. For the volume, the calculation gives 30.3 A^3/atom. Its uncorrected energy is -27.6 eV/cell.

Structure (CIF):
```
data_Hf3HgBi
_cell_length_a 5.331
_cell_length_b 5.331
_cell_length_c 5.331
_cell_angle_alpha 90.00
_cell_angle_beta 90.00
_cell_angle_gamma 90.00
_symmetry_space_group_name_H-M 'P 1'
_symmetry_Int_Tables_number 1
loop_
_symmetry_equiv_pos_as_xyz
'x,y,z'
loop_
_atom_site_label
_atom_site_fract_x
_atom_site_fract_y
_atom_site_fract_z
Hf1 0.000 0.500 0.000
Hf2 0.000 0.000 0.500
Hf3 0.500 0.000 0.000
Bi1 0.000 0.000 0.000
Hg1 0.500 0.500 0.500
```

The following is a PBE calculation of HfHgBi3 after structural relaxation, from Alexandria via LeMat-Bulk.

Calculated values
As for the space group: Pm-3m, No. 221. For the volume, the calculation gives 36.2 A^3/atom. Its uncorrected energy is -20.6 eV/cell.

Structure (CIF):
```
data_HfHgBi3
_cell_length_a 5.658
_cell_length_b 5.658
_cell_length_c 5.658
_cell_angle_alpha 90.00
_cell_angle_beta 90.00
_cell_angle_gamma 90.00
_symmetry_space_group_name_H-M 'P 1'
_symmetry_Int_Tables_number 1
loop_
_symmetry_equiv_pos_as_xyz
'x,y,z'
loop_
_atom_site_label
_atom_site_fract_x
_atom_site_fract_y
_atom_site_fract_z
Hf1 0.000 0.000 0.000
Bi1 0.000 0.500 0.000
Bi2 0.000 0.000 0.500
Bi3 0.500 0.000 0.000
Hg1 0.500 0.500 0.500
```

The following is a PBE calculation of Hf8HgBi2 after structural relaxation, from Alexandria via LeMat-Bulk.

Calculated values
As for the space group: C2/m, No. 12. For the volume, the calculation gives 23.5 A^3/atom. Its uncorrected energy is -86.7 eV/cell.

Structure (CIF):
```
data_Hf8HgBi2
_cell_length_a 5.910
_cell_length_b 8.014
_cell_length_c 8.014
_cell_angle_alpha 42.93
_cell_angle_beta 91.71
_cell_angle_gamma 91.71
_symmetry_space_group_name_H-M 'P 1'
_symmetry_Int_Tables_number 1
loop_
_symmetry_equiv_pos_as_xyz
'x,y,z'
loop_
_atom_site_label
_atom_site_fract_x
_atom_site_fract_y
_atom_site_fract_z
Hf1 0.361 0.347 0.823
Hf2 0.639 0.177 0.653
Hf3 0.115 0.791 0.791
Hf4 0.885 0.209 0.209
Hf5 0.361 0.823 0.347
Hf6 0.639 0.653 0.177
Hf7 0.896 0.586 0.586
Hf8 0.104 0.414 0.414
Hg1 0.000 0.000 0.000
Bi1 0.624 0.741 0.741
Bi2 0.376 0.259 0.259
```

The following is a PBE calculation of Hf2HgBi2 after structural relaxation, from Alexandria via LeMat-Bulk.

Calculated values
As for the space group: P4/mbm, No. 127. For the volume, the calculation gives 26.1 A^3/atom. Its uncorrected energy is -54.3 eV/cell.

Structure (CIF):
```
data_Hf2HgBi2
_cell_length_a 8.364
_cell_length_b 8.364
_cell_length_c 3.731
_cell_angle_alpha 90.00
_cell_angle_beta 90.00
_cell_angle_gamma 90.00
_symmetry_space_group_name_H-M 'P 1'
_symmetry_Int_Tables_number 1
loop_
_symmetry_equiv_pos_as_xyz
'x,y,z'
loop_
_atom_site_label
_atom_site_fract_x
_atom_site_fract_y
_atom_site_fract_z
Hf1 0.133 0.633 0.500
Hf2 0.633 0.867 0.500
Hf3 0.867 0.367 0.500
Hf4 0.367 0.133 0.500
Bi1 0.344 0.844 0.000
Bi2 0.844 0.656 0.000
Bi3 0.656 0.156 0.000
Bi4 0.156 0.344 0.000
Hg1 0.000 0.000 0.000
Hg2 0.500 0.500 0.000
```

The following is a PBE calculation of HfHgBi3 after structural relaxation, from Alexandria via LeMat-Bulk.

Calculated values
As for the space group: Pm-3m, No. 221. For the volume, the calculation gives 34.9 A^3/atom. Its uncorrected energy is -16.6 eV/cell.

Structure (CIF):
```
data_HfHgBi3
_cell_length_a 5.586
_cell_length_b 5.586
_cell_length_c 5.586
_cell_angle_alpha 90.00
_cell_angle_beta 90.00
_cell_angle_gamma 90.00
_symmetry_space_group_name_H-M 'P 1'
_symmetry_Int_Tables_number 1
loop_
_symmetry_equiv_pos_as_xyz
'x,y,z'
loop_
_atom_site_label
_atom_site_fract_x
_atom_site_fract_y
_atom_site_fract_z
Hf1 0.500 0.500 0.500
Bi1 0.000 0.500 0.000
Bi2 0.000 0.000 0.500
Bi3 0.500 0.000 0.000
Hg1 0.000 0.000 0.000
```

Respective M_tot values: 0.0, 0.0, 0.0, 0.0, 0.0, 0.0, 0.0, 0.0 μB/cell.